Computed, not measured: LaBi3Pb after structural relaxation at the PBE-GGA level of DFT.

As for the density of states at the Fermi level: 0.4428 states/eV per atom. The density is 9.818 Mg/m³. For the formation energy, the calculation gives -0.425 eV per atom. The energy relative to the lowest polymorph listed for this composition comes out at 0.000 eV/f.u.

```
LaBi3Pb
1.0
6.786 0.000 0.000
0.000 6.505 0.000
0.000 0.000 14.912
La Bi Pb
4 12 4
Cartesian
1.697 0.000 10.062 La
5.090 6.505 4.850 La
5.090 3.252 10.062 La
1.697 3.253 4.850 La
1.697 4.727 1.471 Bi
5.090 1.778 13.441 Bi
3.393 4.879 7.475 Bi
5.090 0.024 10.739 Bi
1.697 1.475 13.441 Bi
1.697 3.229 10.739 Bi
0.000 4.879 7.475 Bi
3.393 1.626 7.438 Bi
5.090 5.030 1.471 Bi
5.090 3.277 4.174 Bi
1.697 6.481 4.174 Bi
0.000 1.626 7.438 Bi
3.393 1.626 1.677 Pb
0.000 4.879 13.235 Pb
3.393 4.879 13.235 Pb
0.000 1.626 1.677 Pb
```

Computed, not measured: RbAlCd11 after structural relaxation at the PBE-GGA level of DFT.

As for the density of states at the Fermi level: 0.3114 states/eV per atom. The density is 7.089 Mg/m³. For the formation energy, the calculation gives -0.002 eV per atom.

```
RbAlCd11
1.0
5.512 -0.026 2.297
2.683 7.348 1.118
-0.008 -0.013 7.784
Cd Al Rb
11 1 1
Cartesian
1.341 3.674 0.559 Cd
1.776 4.711 3.473 Cd
4.806 5.683 3.703 Cd
-0.004 -0.007 3.892 Cd
3.708 4.697 6.599 Cd
3.381 1.625 7.495 Cd
4.479 2.611 4.599 Cd
2.182 1.638 2.609 Cd
2.752 -0.020 5.040 Cd
6.005 5.670 8.588 Cd
6.411 2.598 7.725 Cd
4.098 3.661 1.707 Al
0.000 0.000 0.000 Rb
```

Computed, not measured: Rb3Cd2SnBr9 after structural relaxation at the PBE-GGA level of DFT.

The uncorrected formation energy comes out at -1.183 eV per atom. The density is 4.008 Mg/m³.

```
Rb3Cd2SnBr9
1.0
8.005 0.000 0.000
-4.002 6.932 0.000
0.000 0.000 9.849
Br Rb Sn Cd
9 3 1 2
Cartesian
1.963 5.755 3.208 Br
-1.963 5.755 3.208 Br
0.000 2.355 3.208 Br
4.002 0.000 0.000 Br
2.039 1.177 6.641 Br
4.002 4.578 6.641 Br
5.965 1.177 6.641 Br
2.001 3.466 0.000 Br
-2.001 3.466 0.000 Br
0.000 0.000 0.000 Rb
0.000 4.622 6.723 Rb
4.002 2.311 3.126 Rb
0.000 0.000 4.924 Sn
0.000 4.622 1.596 Cd
4.002 2.311 8.253 Cd
```

Computed, not measured: DyCu3Pd6 after structural relaxation at the PBE-GGA level of DFT.

As for the density of states at the Fermi level: 0.3182 states/eV per atom. The density is 10.629 Mg/m³. For the formation energy, the calculation gives -0.354 eV per atom.

```
DyCu3Pd6
1.0
-2.000 -3.936 0.794
6.276 -3.573 -1.898
-0.039 1.969 9.668
Pd Cu Dy
12 6 2
Cartesian
0.376 -1.048 2.089 Pd
3.085 -4.673 3.618 Pd
2.266 -2.341 0.440 Pd
3.423 -1.782 6.129 Pd
1.152 -0.867 4.946 Pd
4.563 -3.266 1.642 Pd
4.466 -6.209 -0.520 Pd
-0.229 0.670 9.084 Pd
-0.326 -2.273 6.922 Pd
0.814 -3.757 2.435 Pd
1.971 -3.198 8.124 Pd
3.861 -4.491 6.475 Pd
1.543 -3.538 5.360 Cu
4.169 -3.594 -0.976 Cu
0.068 -1.945 9.540 Cu
1.624 -0.565 7.633 Cu
2.613 -4.974 0.931 Cu
2.694 -2.002 3.204 Cu
5.297 -3.069 4.469 Dy
-1.060 -2.470 4.095 Dy
```

Computed, not measured: InRu2I after structural relaxation at the PBE-GGA level of DFT.

As for the density of states at the Fermi level: 0.6772 states/eV per atom. The uncorrected formation energy comes out at 1.041 eV per atom. The density is 7.044 Mg/m³. The energy relative to the lowest polymorph listed for this composition comes out at 1.268 eV/f.u.

```
InRu2I
1.0
-0.627 2.045 -5.716
-5.820 1.431 1.150
-1.635 6.865 -0.623
Ru In I
4 2 2
Cartesian
-6.969 8.216 -4.442 Ru
-1.539 3.209 -3.685 Ru
-3.542 6.427 -2.199 Ru
-4.114 2.831 -0.051 Ru
-3.224 1.738 -2.283 In
-5.339 5.017 -0.878 In
0.000 0.000 0.000 I
-2.743 5.324 -4.311 I
```

Computed, not measured: MgTa3S after structural relaxation at the PBE-GGA level of DFT.

As for the density of states at the Fermi level: 1.1958 states/eV per atom. The uncorrected formation energy comes out at 0.310 eV per atom. The density is 10.254 Mg/m³. The energy relative to the lowest polymorph listed for this composition comes out at 0.000 eV/f.u.

```
MgTa3S
1.0
4.595 0.000 0.000
0.000 4.595 0.000
0.000 0.000 4.595
S Mg Ta
1 1 3
Cartesian
0.000 0.000 0.000 S
2.298 2.298 2.298 Mg
0.000 2.298 0.000 Ta
0.000 0.000 2.298 Ta
2.298 0.000 0.000 Ta
```

> Look up the density of the fifth one.

7.044 Mg/m³